Entry from the Alexandria database: a relaxed structure of Ca3Ge3Mo2O12 (PBE with a Hubbard U).

Lattice parameters (Å, degrees): 11.016 11.016 11.016 109.47 109.47 109.47
Atoms (fractional coordinates):
Ca 0.125 0.250 0.375
Ca 0.125 0.375 0.750
Ca 0.250 0.375 0.125
Ca 0.250 0.875 0.625
Ca 0.375 0.125 0.250
Ca 0.375 0.750 0.125
Ca 0.625 0.250 0.875
Ca 0.625 0.875 0.750
Ca 0.750 0.125 0.375
Ca 0.750 0.625 0.875
Ca 0.875 0.625 0.250
Ca 0.875 0.750 0.625
Ge 0.125 0.750 0.875
Ge 0.125 0.875 0.250
Ge 0.250 0.125 0.875
Ge 0.250 0.625 0.375
Ge 0.375 0.250 0.625
Ge 0.375 0.625 0.750
Ge 0.625 0.375 0.250
Ge 0.625 0.750 0.375
Ge 0.750 0.375 0.625
Ge 0.750 0.875 0.125
Ge 0.875 0.125 0.750
Ge 0.875 0.250 0.125
Mo 0.000 0.000 0.000
Mo 0.000 0.000 0.500
Mo 0.000 0.500 0.000
Mo 0.000 0.500 0.500
Mo 0.500 0.000 0.000
Mo 0.500 0.000 0.500
Mo 0.500 0.500 0.000
Mo 0.500 0.500 0.500
O 0.020 0.211 0.123
O 0.020 0.308 0.897
O 0.089 0.711 0.692
O 0.089 0.877 0.397
O 0.103 0.623 0.411
O 0.103 0.980 0.692
O 0.123 0.020 0.211
O 0.123 0.603 0.911
O 0.192 0.211 0.589
O 0.192 0.480 0.603
O 0.211 0.123 0.020
O 0.211 0.589 0.192
O 0.289 0.308 0.911
O 0.289 0.480 0.377
O 0.308 0.897 0.020
O 0.308 0.911 0.289
O 0.377 0.289 0.480
O 0.377 0.589 0.897
O 0.397 0.089 0.877
O 0.397 0.808 0.520
O 0.411 0.103 0.623
O 0.411 0.808 0.789
O 0.480 0.377 0.289
O 0.480 0.603 0.192
O 0.520 0.397 0.808
O 0.520 0.623 0.711
O 0.589 0.192 0.211
O 0.589 0.897 0.377
O 0.603 0.192 0.480
O 0.603 0.911 0.123
O 0.623 0.411 0.103
O 0.623 0.711 0.520
O 0.692 0.089 0.711
O 0.692 0.103 0.980
O 0.711 0.520 0.623
O 0.711 0.692 0.089
O 0.789 0.411 0.808
O 0.789 0.877 0.980
O 0.808 0.520 0.397
O 0.808 0.789 0.411
O 0.877 0.397 0.089
O 0.877 0.980 0.789
O 0.897 0.020 0.308
O 0.897 0.377 0.589
O 0.911 0.123 0.603
O 0.911 0.289 0.308
O 0.980 0.692 0.103
O 0.980 0.789 0.877

Computed properties:
Calculated total energy in eV/atom: -6.89
Space group: Ia-3d